[1]
# AcDy7Er2

An optimized crystal structure of AcDy7Er2 (GGA-PBE, Alexandria).

Output
Space-group type: P-1 (2)
ΔE to the lowest computed polymorph (eV per atom): 0.000
Formation energy (eV/atom): 0.2169
Raw total energy (eV per atom): -4.3279
Size of the total moment (μB/f.u.): 0.00

a = 5.7472 Å, b = 8.1737 Å, c = 8.3915 Å
α = 114.45°, β = 98.68°, γ = 102.52°
Closest atoms and distances in Å follow each position.
Atoms (fractional coordinates):
Ac 0.0000 0.0000 0.0000  4 Dy 3.48-3.54
Dy 0.0000 0.5000 0.0000  4 Dy 3.15-3.35
Dy 0.2544 0.5388 0.4062  3 Er 3.25-3.57, 6 Dy 3.28-3.58
Dy 0.4189 0.6670 0.8560  4 Dy 3.15-3.39, 1 Er 3.34, 1 Ac 3.48
Dy 0.4808 0.9686 0.2925  4 Dy 3.27-3.65, 3 Er 3.34-3.66, 1 Ac 3.54
Dy 0.5192 0.0314 0.7075  4 Dy 3.27-3.65, 3 Er 3.34-3.66, 1 Ac 3.54
Dy 0.5811 0.3330 0.1440  4 Dy 3.15-3.39, 1 Er 3.34, 1 Ac 3.48
Dy 0.7456 0.4612 0.5938  3 Er 3.25-3.57, 6 Dy 3.28-3.58
Er 0.1283 0.2155 0.5551  1 Er 3.17, 5 Dy 3.25-3.53
Er 0.8717 0.7845 0.4449  1 Er 3.17, 5 Dy 3.25-3.53

[2]
# Ba3Sn3Hg8

An optimized crystal structure of Ba3Sn3Hg8 (GGA-PBE, Alexandria).

Output
Space-group type: C2/m (12)
ΔE to the lowest computed polymorph (eV per atom): 0.000
Formation energy (eV/atom): -0.3993
Raw total energy (eV per atom): -1.8415
Size of the total moment (μB/f.u.): 0.00

a = 9.6502 Å, b = 9.6502 Å, c = 10.1502 Å
α = 121.25°, β = 121.25°, γ = 31.88°
Closest atoms and distances in Å follow each position.
Atoms (fractional coordinates):
Ba 0.0000 0.0000 0.0000  8 Hg 3.60-3.88, 4 Sn 3.81
Ba 0.2990 0.2990 0.2938  11 Hg 3.54-3.73, 3 Sn 3.81-3.83
Ba 0.7010 0.7010 0.7062  11 Hg 3.54-3.73, 3 Sn 3.81-3.83
Sn 0.0000 0.0000 0.5000  8 Hg 3.20-3.26
Sn 0.3514 0.3514 0.7119  5 Hg 2.86-3.15
Sn 0.6486 0.6486 0.2881  5 Hg 2.86-3.15
Hg 0.1446 0.1446 0.8659  3 Hg 3.00-3.20, 1 Sn 3.20
Hg 0.1562 0.1562 0.4406  4 Sn 3.03-3.26
Hg 0.3430 0.3430 0.9851  1 Sn 2.86, 4 Hg 3.00-3.20
Hg 0.4970 0.4970 0.3166  3 Sn 2.98-3.22, 1 Hg 3.02
Hg 0.5030 0.5030 0.6834  3 Sn 2.98-3.22, 1 Hg 3.02
Hg 0.6570 0.6570 0.0149  1 Sn 2.86, 4 Hg 3.00-3.20
Hg 0.8438 0.8438 0.5594  4 Sn 3.03-3.26
Hg 0.8554 0.8554 0.1341  3 Hg 3.00-3.20, 1 Sn 3.20

[3]
# AcTm3Pt

An optimized crystal structure of AcTm3Pt (GGA-PBE, Alexandria).

Output
Space-group type: Pm-3m (221)
Formation energy (eV/atom): -0.4639
Raw total energy (eV per atom): -5.1767
Size of the total moment (μB/f.u.): 0.00

a = 5.4765 Å, b = 5.4765 Å, c = 5.4765 Å
α = 90.00°, β = 90.00°, γ = 90.00°
Closest atoms and distances in Å follow each position.
Atoms (fractional coordinates):
Ac 0.0000 0.0000 0.0000  12 Tm 3.87
Tm 0.0000 0.5000 0.5000  2 Pt 2.74
Tm 0.5000 0.0000 0.5000  2 Pt 2.74
Tm 0.5000 0.5000 0.0000  2 Pt 2.74
Pt 0.5000 0.5000 0.5000  6 Tm 2.74

[4]
# Er3TmIr

An optimized crystal structure of Er3TmIr (GGA-PBE, Alexandria).

Output
Space-group type: Pmn2_1 (31)
Formation energy (eV/atom): -0.3546
Raw total energy (eV per atom): -5.7588
Size of the total moment (μB/f.u.): 0.00

a = 7.5383 Å, b = 6.4706 Å, c = 6.0951 Å
α = 90.00°, β = 90.00°, γ = 90.00°
Closest atoms and distances in Å follow each position.
Atoms (fractional coordinates):
Er 0.0000 0.1534 0.0000  1 Ir 2.73
Er 0.2501 0.3107 0.5028  2 Ir 2.71-2.72
Er 0.2499 0.6893 0.0028  2 Ir 2.71-2.72
Er 0.5000 0.8466 0.5000  1 Ir 2.73
Er 0.7499 0.3107 0.5028  2 Ir 2.71-2.72
Er 0.7501 0.6893 0.0028  2 Ir 2.71-2.72
Tm 0.0000 0.8471 0.5063  1 Ir 2.72
Tm 0.5000 0.1529 0.0063  1 Ir 2.72
Ir 0.0000 0.5011 0.2537  5 Er 2.71-2.73, 1 Tm 2.72
Ir 0.5000 0.4989 0.7537  5 Er 2.71-2.73, 1 Tm 2.72